[1]
Entry from Alexandria: a relaxed structure of VPtCl2 (GGA-PBE).

Output
Formation energy from raw total energies = 23 kJ per mole of atoms
Energy above the lowest structure with this stoichiometry = 466 meV/atom
Theoretical density = 5.97 Mg/m³
Calculated total energy = -35.8 eV/cell

a = 5.817 Å, b = 5.817 Å, c = 6.636 Å
α = 64.01°, β = 64.01°, γ = 90.00°
Last column: magnetic moment on the atom in μB.
Positions (direct):
1 V 0.250 0.750 0.500  2.57
2 V 0.500 0.500 0.000  2.57
3 Cl 0.603 0.125 0.250  -0.05
4 Cl 0.375 0.397 0.750  -0.05
5 Cl 0.875 0.853 0.750  -0.05
6 Cl 0.147 0.625 0.250  -0.05
7 Pt 0.000 0.000 0.000  -0.07
8 Pt 0.750 0.250 0.500  -0.07

[2]
Entry from Alexandria: a relaxed structure of Ba4PtRhI2 (GGA-PBE).

Output
Formation energy from raw total energies = -94 kJ per mole of atoms
Theoretical density = 5.72 Mg/m³
Calculated total energy = -32.0 eV/cell

a = 4.634 Å, b = 8.021 Å, c = 8.997 Å
α = 107.21°, β = 90.00°, γ = 90.00°
Positions (direct):
1 Pt 0.000 0.000 0.000
2 Ba 0.500 0.240 0.199
3 Ba 0.500 0.760 0.801
4 Ba 0.000 0.727 0.199
5 Ba 0.000 0.273 0.801
6 I 0.500 0.000 0.500
7 I 0.000 0.500 0.500
8 Rh 0.500 0.500 0.000

[3]
Entry from Alexandria: a relaxed structure of Tl2ReTe (GGA-PBE).

Output
Formation energy from raw total energies = 62 kJ per mole of atoms
Energy above the lowest structure with this stoichiometry = 238 meV/atom
Theoretical density = 11.90 Mg/m³
Calculated total energy = -17.7 eV/cell

a = 3.204 Å, b = 3.204 Å, c = 11.091 Å
α = 90.00°, β = 90.00°, γ = 117.62°
Positions (direct):
1 Tl 0.000 0.000 0.013
2 Tl 0.500 0.500 0.287
3 Te 0.500 0.500 0.692
4 Re 0.000 0.000 0.507

[4]
Entry from Alexandria: a relaxed structure of CaNdSnHg (GGA-PBE).

Output
Theoretical density = 7.36 Mg/m³
Calculated total energy = -13.5 eV/cell
ΔH_f (0 K) = -605 meV/atom

a = 5.436 Å, b = 5.436 Å, c = 5.436 Å
α = 60.00°, β = 60.00°, γ = 60.00°
Positions (direct):
1 Hg 0.750 0.750 0.750
2 Sn 0.250 0.250 0.250
3 Nd 0.500 0.500 0.500
4 Ca 0.000 0.000 0.000

[5]
Entry from Alexandria: a relaxed structure of Rb4PmU3Te8 (GGA-PBE).

Output
Formation energy from raw total energies = -94 kJ per mole of atoms
Theoretical density = 5.95 Mg/m³
Calculated total energy = -83.2 eV/cell

a = 9.121 Å, b = 10.092 Å, c = 9.121 Å
α = 116.88°, β = 120.00°, γ = 90.00°
Last column: magnetic moment on the atom in μB.
Positions (direct):
1 Rb 0.500 0.000 0.500  0.00
2 Rb 0.000 0.000 0.500  0.00
3 Rb 0.000 0.000 0.000  0.00
4 Rb 0.500 0.000 0.000  0.00
5 Pm 0.000 0.500 0.000  0.10
6 U 0.500 0.500 0.000  2.77
7 U 0.000 0.500 0.500  2.77
8 U 0.500 0.500 0.500  2.77
9 Te 0.734 0.701 0.468  -0.06
10 Te 0.764 0.297 0.528  -0.04
11 Te 0.236 0.703 0.968  -0.04
12 Te 0.764 0.297 0.032  -0.04
13 Te 0.266 0.299 0.532  -0.06
14 Te 0.236 0.703 0.472  -0.04
15 Te 0.268 0.297 0.032  -0.04
16 Te 0.732 0.703 0.968  -0.04

[6]
Entry from Alexandria: a relaxed structure of Si3Pt (GGA-PBE).

Output
Formation energy from raw total energies = 20 kJ per mole of atoms
Theoretical density = 7.63 Mg/m³
Calculated total energy = -21.5 eV/cell

a = 4.414 Å, b = 4.414 Å, c = 4.414 Å
α = 60.00°, β = 60.00°, γ = 60.00°
Positions (direct):
1 Pt 0.000 0.000 0.000
2 Si 0.500 0.500 0.500
3 Si 0.250 0.250 0.250
4 Si 0.750 0.750 0.750

[7]
Entry from Alexandria: a relaxed structure of PrNp2Tl3S6 (GGA-PBE).

Output
Formation energy from raw total energies = -111 kJ per mole of atoms
Theoretical density = 7.16 Mg/m³
Calculated total energy = -76.4 eV/cell

a = 7.120 Å, b = 7.120 Å, c = 7.872 Å
α = 98.66°, β = 98.66°, γ = 119.97°
Last column: magnetic moment on the atom in μB.
Positions (direct):
1 S 0.412 0.066 0.199  -0.06
2 S 0.281 0.281 0.804  -0.06
3 S 0.066 0.412 0.199  -0.06
4 S 0.934 0.588 0.801  -0.06
5 S 0.588 0.934 0.801  -0.06
6 S 0.719 0.719 0.196  -0.06
7 Np 0.333 0.667 0.000  3.82
8 Np 0.667 0.333 0.000  3.82
9 Tl 0.834 0.166 0.500  0.01
10 Tl 0.166 0.834 0.500  0.01
11 Tl 0.500 0.500 0.500  0.01
12 Pr 0.000 0.000 0.000  0.08

[8]
Entry from Alexandria: a relaxed structure of Pr6MgIn5 (GGA-PBE).

Output
Theoretical density = 6.71 Mg/m³
Calculated total energy = -49.2 eV/cell
ΔH_f (0 K) = -440 meV/atom

a = 5.529 Å, b = 7.786 Å, c = 8.755 Å
α = 90.00°, β = 71.59°, γ = 90.00°
Positions (direct):
1 Mg 0.000 0.000 0.000
2 Pr 0.832 0.752 0.337
3 Pr 0.500 0.253 0.000
4 Pr 0.832 0.248 0.337
5 Pr 0.168 0.752 0.663
6 Pr 0.500 0.747 0.000
7 Pr 0.168 0.248 0.663
8 In 0.334 0.500 0.333
9 In 0.000 0.500 0.000
10 In 0.661 0.000 0.679
11 In 0.339 0.000 0.321
12 In 0.666 0.500 0.667

[9]
Entry from Alexandria: a relaxed structure of AlCrSe4 (GGA-PBE).

Output
Formation energy from raw total energies = 63 kJ per mole of atoms
Theoretical density = 4.86 Mg/m³
Calculated total energy = -23.4 eV/cell

a = 5.755 Å, b = 5.755 Å, c = 5.755 Å
α = 60.00°, β = 60.00°, γ = 60.00°
Last column: magnetic moment on the atom in μB.
Positions (direct):
1 Se 0.876 0.375 0.375  0.02
2 Se 0.375 0.375 0.375  0.02
3 Se 0.375 0.876 0.375  0.02
4 Se 0.375 0.375 0.876  0.02
5 Cr 0.000 0.000 0.000  4.18
6 Al 0.750 0.750 0.750  0.02

[10]
Entry from Alexandria: a relaxed structure of AlPbW3 (GGA-PBE).

Output
Energy above the lowest structure with this stoichiometry = 1256 meV/atom
Theoretical density = 10.61 Mg/m³
Calculated total energy = -30.7 eV/cell
ΔH_f (0 K) = 3114 meV/atom

a = 4.972 Å, b = 4.972 Å, c = 4.972 Å
α = 90.00°, β = 90.00°, γ = 90.00°
Positions (direct):
1 W 0.000 0.000 0.500
2 W 0.500 0.000 0.000
3 W 0.000 0.500 0.000
4 Pb 0.000 0.000 0.000
5 Al 0.500 0.500 0.500

[11]
Entry from Alexandria: a relaxed structure of TlFeI2 (GGA-PBE).

Output
Formation energy from raw total energies = -3 kJ per mole of atoms
Energy above the lowest structure with this stoichiometry = 0 meV/atom
Theoretical density = 6.24 Mg/m³
Calculated total energy = -28.1 eV/cell

a = 8.299 Å, b = 8.299 Å, c = 7.087 Å
α = 54.16°, β = 54.16°, γ = 90.00°
Last column: magnetic moment on the atom in μB.
Positions (direct):
1 Tl 0.000 0.000 0.000  -0.02
2 Tl 0.750 0.250 0.500  -0.02
3 Fe 0.500 0.500 0.000  2.79
4 Fe 0.250 0.750 0.500  2.79
5 I 0.214 0.625 0.250  0.04
6 I 0.536 0.125 0.250  0.04
7 I 0.875 0.786 0.750  0.04
8 I 0.375 0.464 0.750  0.04

[12]
Entry from Alexandria: a relaxed structure of Sc2Pt2O (GGA-PBE).

Output
Formation energy from raw total energies = -77 kJ per mole of atoms
Energy above the lowest structure with this stoichiometry = 0 meV/atom
Theoretical density = 9.35 Mg/m³
Calculated total energy = -67.4 eV/cell

a = 7.284 Å, b = 7.284 Å, c = 3.321 Å
α = 90.00°, β = 90.00°, γ = 90.00°
Positions (direct):
1 Sc 0.173 0.673 0.500
2 Sc 0.827 0.327 0.500
3 Sc 0.673 0.827 0.500
4 Sc 0.327 0.173 0.500
5 Pt 0.630 0.130 0.000
6 Pt 0.870 0.630 0.000
7 Pt 0.370 0.870 0.000
8 Pt 0.130 0.370 0.000
9 O 0.500 0.500 0.000
10 O 0.000 0.000 0.000

[13]
Entry from Alexandria: a relaxed structure of TmScCuHg (GGA-PBE).

Output
Energy above the lowest structure with this stoichiometry = 37 meV/atom
Theoretical density = 9.34 Mg/m³
Calculated total energy = -16.5 eV/cell
ΔH_f (0 K) = -322 meV/atom

a = 4.934 Å, b = 4.934 Å, c = 4.934 Å
α = 60.00°, β = 60.00°, γ = 60.00°
Positions (direct):
1 Sc 0.500 0.500 0.500
2 Cu 0.250 0.250 0.250
3 Tm 0.000 0.000 0.000
4 Hg 0.750 0.750 0.750

[14]
Entry from Alexandria: a relaxed structure of PrSmDyAg (GGA-PBE).

Output
Energy above the lowest structure with this stoichiometry = 191 meV/atom
Theoretical density = 7.98 Mg/m³
Calculated total energy = -16.7 eV/cell
ΔH_f (0 K) = 66 meV/atom

a = 5.487 Å, b = 5.487 Å, c = 5.487 Å
α = 60.00°, β = 60.00°, γ = 60.00°
Positions (direct):
1 Sm 0.000 0.000 0.000
2 Pr 0.500 0.500 0.500
3 Ag 0.250 0.250 0.250
4 Dy 0.750 0.750 0.750

[15]
Entry from Alexandria: a relaxed structure of Tl2InIr (GGA-PBE).

Output
Energy above the lowest structure with this stoichiometry = 354 meV/atom
Theoretical density = 13.06 Mg/m³
Calculated total energy = -14.6 eV/cell
ΔH_f (0 K) = 444 meV/atom

a = 5.084 Å, b = 5.084 Å, c = 5.084 Å
α = 121.28°, β = 121.28°, γ = 87.80°
Positions (direct):
1 Ir 0.750 0.250 0.500
2 Tl 0.250 0.750 0.500
3 Tl 0.000 0.000 0.000
4 In 0.500 0.500 0.000

[16]
Entry from Alexandria: a relaxed structure of Th4InTc2 (GGA-PBE).

Output
Energy above the lowest structure with this stoichiometry = 0 meV/atom
Theoretical density = 10.63 Mg/m³
Calculated total energy = -108.6 eV/cell
ΔH_f (0 K) = -164 meV/atom

a = 4.653 Å, b = 6.298 Å, c = 14.217 Å
α = 90.00°, β = 90.00°, γ = 111.68°
Positions (direct):
1 In 0.399 0.799 0.250
2 In 0.601 0.201 0.750
3 Th 0.781 0.562 0.107
4 Th 0.500 0.000 0.500
5 Th 0.219 0.438 0.607
6 Th 0.500 0.000 0.000
7 Th 0.099 0.199 0.250
8 Th 0.901 0.801 0.750
9 Th 0.219 0.438 0.893
10 Th 0.781 0.562 0.393
11 Tc 0.105 0.209 0.062
12 Tc 0.895 0.791 0.938
13 Tc 0.105 0.209 0.438
14 Tc 0.895 0.791 0.562

[17]
Entry from Alexandria: a relaxed structure of K2NdPbO4 (GGA-PBE).

Output
Formation energy from raw total energies = -180 kJ per mole of atoms
Theoretical density = 5.70 Mg/m³
Calculated total energy = -45.4 eV/cell

a = 3.649 Å, b = 6.235 Å, c = 6.671 Å
α = 108.66°, β = 90.00°, γ = 90.00°
Positions (direct):
1 Pb 0.000 0.000 0.000
2 O 0.500 0.767 0.802
3 O 0.500 0.233 0.198
4 O 0.000 0.725 0.197
5 O 0.000 0.275 0.803
6 Nd 0.500 0.500 0.000
7 K 0.000 0.500 0.500
8 K 0.500 0.000 0.500

[18]
Entry from Alexandria: a relaxed structure of LiTlFe (GGA-PBE).

Output
Energy above the lowest structure with this stoichiometry = 0 meV/atom
Theoretical density = 8.60 Mg/m³
Calculated total energy = -11.7 eV/cell
ΔH_f (0 K) = 355 meV/atom

a = 4.960 Å, b = 4.960 Å, c = 4.960 Å
α = 144.80°, β = 132.19°, γ = 60.74°
Last column: magnetic moment on the atom in μB.
Positions (direct):
1 Li 0.664 0.664 0.000  -0.02
2 Tl 0.333 0.333 0.000  -0.05
3 Fe 0.003 0.003 0.000  2.73

[19]
Entry from Alexandria: a relaxed structure of Na2Ca2La (GGA-PBE).

Output
Energy above the lowest structure with this stoichiometry = 62 meV/atom
Theoretical density = 2.28 Mg/m³
Calculated total energy = -20.7 eV/cell
ΔH_f (0 K) = 246 meV/atom

a = 10.246 Å, b = 10.246 Å, c = 3.674 Å
α = 90.00°, β = 90.00°, γ = 90.00°
Last column: magnetic moment on the atom in μB.
Positions (direct):
1 Na 0.332 0.168 0.500  0.00
2 Na 0.668 0.832 0.500  0.00
3 Na 0.168 0.668 0.500  0.00
4 Na 0.832 0.332 0.500  0.00
5 Ca 0.868 0.632 0.000  0.02
6 Ca 0.368 0.868 0.000  0.01
7 Ca 0.632 0.132 0.000  0.01
8 Ca 0.132 0.368 0.000  0.02
9 La 0.000 0.000 0.000  0.25
10 La 0.500 0.500 0.000  0.25

[20]
Entry from Alexandria: a relaxed structure of LiAg6Au5 (GGA-PBE).

Output
Energy above the lowest structure with this stoichiometry = 0 meV/atom
Theoretical density = 12.87 Mg/m³
Calculated total energy = -36.7 eV/cell
ΔH_f (0 K) = -110 meV/atom

a = 9.325 Å, b = 4.074 Å, c = 6.476 Å
α = 71.67°, β = 82.32°, γ = 64.87°
Positions (direct):
1 Ag 0.245 0.254 0.000
2 Ag 0.753 0.081 0.332
3 Ag 0.753 0.413 0.668
4 Ag 0.247 0.919 0.668
5 Ag 0.755 0.746 0.000
6 Ag 0.247 0.587 0.332
7 Au 0.000 0.662 0.676
8 Au 0.000 0.338 0.324
9 Au 0.500 0.500 0.000
10 Au 0.500 0.834 0.332
11 Au 0.500 0.166 0.668
12 Li 0.000 0.000 0.000

[21]
Entry from Alexandria: a relaxed structure of Li2NiAs (GGA-PBE).

Output
Theoretical density = 4.74 Mg/m³
Calculated total energy = -15.7 eV/cell
ΔH_f (0 K) = -369 meV/atom

a = 4.008 Å, b = 3.591 Å, c = 3.591 Å
α = 90.00°, β = 90.00°, γ = 90.00°
Positions (direct):
1 Li 0.000 0.000 0.000
2 Li 0.000 0.500 0.500
3 As 0.500 0.000 0.500
4 Ni 0.500 0.500 0.000

[22]
Entry from Alexandria: a relaxed structure of PrTm2Ga (GGA-PBE).

Output
Energy above the lowest structure with this stoichiometry = 272 meV/atom
Theoretical density = 7.99 Mg/m³
Calculated total energy = -16.8 eV/cell
ΔH_f (0 K) = -19 meV/atom

a = 4.961 Å, b = 4.961 Å, c = 6.069 Å
α = 65.87°, β = 65.87°, γ = 60.00°
Positions (direct):
1 Ga 0.000 0.000 0.000
2 Tm 0.276 0.276 0.171
3 Tm 0.724 0.724 0.829
4 Pr 0.500 0.500 0.500

[23]
Entry from Alexandria: a relaxed structure of Y7Bi2Pt2 (GGA-PBE).

Output
Theoretical density = 7.59 Mg/m³
Calculated total energy = -74.0 eV/cell
ΔH_f (0 K) = -811 meV/atom

a = 3.971 Å, b = 9.607 Å, c = 9.607 Å
α = 61.66°, β = 78.07°, γ = 78.07°
Last column: magnetic moment on the atom in μB.
Positions (direct):
1 Bi 0.500 0.357 0.643  0.02
2 Bi 0.000 0.769 0.231  0.00
3 Y 0.187 0.712 0.914  0.01
4 Y 0.374 0.731 0.520  0.01
5 Y 0.626 0.480 0.269  0.01
6 Y 0.813 0.086 0.288  0.01
7 Y 0.500 0.026 0.974  0.10
8 Y 0.854 0.396 0.896  0.04
9 Y 0.146 0.104 0.604  0.04
10 Pt 0.260 0.336 0.144  0.00
11 Pt 0.740 0.856 0.664  0.00

[24]
Entry from Alexandria: a relaxed structure of LiMoPt2 (GGA-PBE).

Output
Energy above the lowest structure with this stoichiometry = 309 meV/atom
Theoretical density = 13.82 Mg/m³
Calculated total energy = -25.4 eV/cell
ΔH_f (0 K) = -136 meV/atom

a = 3.827 Å, b = 3.934 Å, c = 3.934 Å
α = 90.00°, β = 90.00°, γ = 90.00°
Last column: magnetic moment on the atom in μB.
Positions (direct):
1 Mo 0.500 0.000 0.500  0.91
2 Li 0.500 0.500 0.000  0.01
3 Pt 0.000 0.500 0.500  0.06
4 Pt 0.000 0.000 0.000  0.06